# Ba2W3O7

A relaxed Ba2W3O7 crystal (PBE with a Hubbard U, the Alexandria database).

Cell lengths 4.0098, 4.0332, 12.2889 Å; angles 90.00, 90.00, 90.00 degrees
Sites, in units of the cell vectors:
Ba 0.0000 0.0000 0.1991
Ba 0.0000 0.0000 0.8009
W 0.5000 0.5000 0.0000
W 0.5000 0.5000 0.3834
W 0.5000 0.5000 0.6166
O 0.0000 0.5000 0.0000
O 0.0000 0.5000 0.3677
O 0.0000 0.5000 0.6323
O 0.5000 0.0000 0.3539
O 0.5000 0.0000 0.6461
O 0.5000 0.5000 0.1566
O 0.5000 0.5000 0.8434

Calculated values
* E_tot: -6.965 eV/atom
* symmetry: Pmmm (47)